No. 1
KTaPb2: optimized geometry, PBE.

Values from the calculation:
* VASP energy: -4.3458 eV/atom
* total magnetization: 3.503 μB/cell
* E_form: 746 meV/atom
* ρ: 9.928 g/cm³
* distance to the lowest polymorph of the same formula: 193 kJ/mol of formula units

Cell lengths 4.9875, 4.9875, 8.5318 Å; angles 90.00, 90.00, 90.00 degrees
Closest atoms and distances in Å follow each position.
Space group I4/mmm (No. 139)
Asymmetric unit:
K 0.0000 0.0000 0.0000 [2 per cell]  8 Pb 3.28, 4 Ta 3.53
Ta 0.0000 0.0000 0.5000 [2 per cell]  8 Pb 3.28, 4 K 3.53
Pb 0.0000 0.5000 0.2500 [4 per cell]  4 Ta 3.28, 4 K 3.28, 4 Pb 3.53

=====

No. 2
KTaPb2: optimized geometry, PBE.

Values from the calculation:
* VASP energy: -4.4030 eV/atom
* total magnetization: 0.000 μB/cell
* E_form: 689 meV/atom
* ρ: 9.981 g/cm³
* distance to the lowest polymorph of the same formula: 171 kJ/mol of formula units

Cell lengths 5.7883, 5.7883, 3.1505 Å; angles 90.00, 90.00, 90.00 degrees
Closest atoms and distances in Å follow each position.
Space group P4/mmm (No. 123)
Asymmetric unit:
K 0.0000 0.0000 0.0000 [1 per cell]  2 K 3.15, 8 Pb 3.30
Ta 0.5000 0.5000 0.0000 [1 per cell]  2 Ta 3.15, 8 Pb 3.30
Pb 0.0000 0.5000 0.5000 [2 per cell]  2 Pb 3.15, 4 Ta 3.30, 4 K 3.30